Compound: Y3MgSb
Source: Alexandria via LeMat-Bulk
Functional: PBE-GGA
Structure: relaxed

a = 5.7051 Å, b = 5.7051 Å, c = 5.7051 Å
α = 90.00°, β = 90.00°, γ = 90.00°
Closest atoms and distances in Å follow each position.
Positions (direct):
Mg (0.5000, 0.5000, 0.5000)  12 Y 4.03
Sb (0.0000, 0.0000, 0.0000)  6 Y 2.85
Y (0.5000, 0.0000, 0.0000)  2 Sb 2.85
Y (0.0000, 0.0000, 0.5000)  2 Sb 2.85
Y (0.0000, 0.5000, 0.0000)  2 Sb 2.85

uncorrected energy: -0.1843 Ha/atom
density of states at the Fermi level: 1.689 states/eV/atom
magnetization: 0.00 Bohr magnetons per cell
space group: Pm-3m (221)
energy above the lowest structure with this stoichiometry: 0 meV/atom
E_form (uncorrected): 0.008 eV/atom